No. 1
A plane-wave DFT calculation with GGA-PBEsol was carried out for crystalline Zn3Ag5 at its relaxed geometry.

Values from the calculation:
- M_tot (μB/cell) = 0.0
- energy above the most stable polymorph in this dataset (eV per atom) = 0.0506
- DOS at the Fermi energy (states/eV/cell) = 4.1
- ρ (Mg/m³) = 9.64
- E_form (meV/atom) = -2

Cell: 7.4659 7.4659 5.2512 Å, 90.00 90.00 120.00°
Closest atoms and distances in Å follow each position.
Atoms (fractional coordinates):
Zn 0.0000 0.4037 0.2500  7 Ag 2.62-2.75
Zn 0.0000 0.5963 0.7500  7 Ag 2.62-2.75
Zn 0.4037 0.0000 0.2500  7 Ag 2.62-2.75
Zn 0.4037 0.4037 0.7500  7 Ag 2.62-2.75
Zn 0.5963 0.0000 0.7500  7 Ag 2.62-2.75
Zn 0.5963 0.5963 0.2500  7 Ag 2.62-2.75
Ag 0.0000 0.2283 0.7500  3 Zn 2.62-2.75
Ag 0.0000 0.7717 0.2500  3 Zn 2.62-2.75
Ag 0.2283 0.0000 0.7500  3 Zn 2.62-2.75
Ag 0.2283 0.2283 0.2500  3 Zn 2.62-2.75
Ag 0.3333 0.6667 0.0000  6 Zn 2.62, 2 Ag 2.63
Ag 0.3333 0.6667 0.5000  6 Zn 2.62, 2 Ag 2.63
Ag 0.6667 0.3333 0.0000  6 Zn 2.62, 2 Ag 2.63
Ag 0.6667 0.3333 0.5000  6 Zn 2.62, 2 Ag 2.63
Ag 0.7717 0.0000 0.2500  3 Zn 2.62-2.75
Ag 0.7717 0.7717 0.7500  3 Zn 2.62-2.75

***

No. 2
A plane-wave DFT calculation with GGA-PBEsol was carried out for crystalline InAuBr2 at its relaxed geometry.

Values from the calculation:
- M_tot (μB/cell) = 0.0
- energy above the most stable polymorph in this dataset (eV per atom) = 0.0000
- DOS at the Fermi energy (states/eV/cell) = 1.3
- uncorrected formation energy (eV per formula unit) = -0.36
- ρ (Mg/m³) = 8.28

Cell: 3.4917 3.4917 7.7578 Å, 90.00 90.00 90.00°
Closest atoms and distances in Å follow each position.
Atoms (fractional coordinates):
In 0.0000 0.0000 0.0000  4 Au 2.98, 5 Br 3.03-3.26
Au 0.5000 0.5000 0.2143  4 Br 2.94, 4 In 2.98
Br 0.0000 0.0000 0.4200  4 Au 2.94, 1 In 3.26
Br 0.5000 0.5000 0.7741  4 In 3.03

***

No. 3
A plane-wave DFT calculation with GGA-PBEsol was carried out for crystalline BeRh2Pb at its relaxed geometry.

Values from the calculation:
- M_tot (μB/cell) = 0.0
- energy above the most stable polymorph in this dataset (eV per atom) = 0.0000
- DOS at the Fermi energy (states/eV/cell) = 1.6
- ρ (Mg/m³) = 12.25
- E_form (meV/atom) = -99

Cell: 2.9673 2.9673 6.4954 Å, 90.00 90.00 90.00°
Closest atoms and distances in Å follow each position.
Atoms (fractional coordinates):
Be 0.0000 0.0000 0.0000  8 Rh 2.49
Rh 0.5000 0.5000 0.2057  4 Be 2.49, 1 Rh 2.67
Rh 0.5000 0.5000 0.7943  4 Be 2.49, 1 Rh 2.67
Pb 0.0000 0.0000 0.5000  8 Rh 2.84, 4 Pb 2.97

***

No. 4
A plane-wave DFT calculation with GGA-PBEsol was carried out for crystalline Mg3Cu5 at its relaxed geometry.

Values from the calculation:
- M_tot (μB/cell) = 0.0
- energy above the most stable polymorph in this dataset (eV per atom) = 0.0000
- DOS at the Fermi energy (states/eV/cell) = 2.6
- ρ (Mg/m³) = 5.85
- E_form (meV/atom) = -35

Cell: 3.0615 3.0615 11.8217 Å, 90.00 90.00 90.00°
Closest atoms and distances in Å follow each position.
Atoms (fractional coordinates):
Mg 0.0000 0.0000 0.0000  10 Cu 2.68-2.77
Mg 0.5000 0.5000 0.3673  9 Cu 2.67-2.77
Mg 0.5000 0.5000 0.6327  9 Cu 2.67-2.77
Cu 0.0000 0.0000 0.2345  4 Cu 2.47, 4 Mg 2.67
Cu 0.0000 0.0000 0.5000  8 Mg 2.67
Cu 0.0000 0.0000 0.7655  4 Cu 2.47, 4 Mg 2.67
Cu 0.5000 0.5000 0.1331  4 Cu 2.47, 5 Mg 2.68-2.77
Cu 0.5000 0.5000 0.8669  4 Cu 2.47, 5 Mg 2.68-2.77

***

No. 5
A plane-wave DFT calculation with GGA-PBEsol was carried out for crystalline SrLi2Ga2 at its relaxed geometry.

Values from the calculation:
- M_tot (μB/cell) = 0.0
- DOS at the Fermi energy (states/eV/cell) = 1.5
- ρ (Mg/m³) = 3.76
- E_form (meV/atom) = -300

Cell: 5.7505 5.7505 5.7505 Å, 130.80 130.80 72.13°
Closest atoms and distances in Å follow each position.
Atoms (fractional coordinates):
Sr 0.0000 0.0000 0.0000  8 Li 3.34, 10 Ga 3.44-3.59
Li 0.2500 0.7500 0.5000  4 Ga 2.64
Li 0.7500 0.2500 0.5000  4 Ga 2.64
Ga 0.3704 0.3704 0.0000  1 Ga 2.41, 4 Li 2.64
Ga 0.6296 0.6296 0.0000  1 Ga 2.41, 4 Li 2.64

***

No. 6
A plane-wave DFT calculation with GGA-PBEsol was carried out for crystalline TlFeTe2 at its relaxed geometry.

Values from the calculation:
- M_tot (μB/cell) = 3.2
- DOS at the Fermi energy (states/eV/cell) = 4.5
- uncorrected formation energy (eV per formula unit) = 1.90
- ρ (Mg/m³) = 8.51

Cell: 5.2070 5.2070 4.1869 Å, 102.25 102.25 108.07°
Closest atoms and distances in Å follow each position.
Atoms (fractional coordinates):
Tl 0.0000 0.0000 0.0000  4 Te 2.97, 2 Fe 3.06
Fe 0.5000 0.5000 0.0000  4 Te 2.97, 2 Tl 3.06
Te 0.0000 0.5000 0.5000  2 Tl 2.97, 2 Fe 2.97, 2 Te 3.06
Te 0.5000 0.0000 0.5000  2 Tl 2.97, 2 Fe 2.97, 2 Te 3.06

***

No. 7
A plane-wave DFT calculation with GGA-PBEsol was carried out for crystalline LaTa2Br at its relaxed geometry.

Values from the calculation:
- M_tot (μB/cell) = 0.0
- energy above the most stable polymorph in this dataset (eV per atom) = 0.0000
- DOS at the Fermi energy (states/eV/cell) = 3.4
- uncorrected formation energy (eV per formula unit) = 2.29
- ρ (Mg/m³) = 11.39

Cell: 5.0167 5.0167 5.0167 Å, 123.12 123.12 84.68°
Closest atoms and distances in Å follow each position.
Atoms (fractional coordinates):
La 0.0000 0.0000 0.0000  8 Ta 3.02-3.38, 4 Br 3.02
Ta 0.5000 0.5000 0.0000  4 Ta 3.02, 4 Br 3.02, 4 La 3.38
Ta 0.7500 0.2500 0.5000  4 Ta 3.02, 4 La 3.02, 4 Br 3.38
Br 0.2500 0.7500 0.5000  8 Ta 3.02-3.38, 4 La 3.02

***

No. 8
A plane-wave DFT calculation with GGA-PBEsol was carried out for crystalline Rb2ZnO2 at its relaxed geometry.

Values from the calculation:
- M_tot (μB/cell) = 0.0
- DOS at the Fermi energy (states/eV/cell) = 0.0
- uncorrected formation energy (eV per formula unit) = -6.43
- ρ (Mg/m³) = 4.29

Cell: 9.5303 6.2825 15.8933 Å, 90.00 119.23 90.00°
Closest atoms and distances in Å follow each position.
Atoms (fractional coordinates):
Rb 0.0654 0.0650 0.1202  4 O 2.83-3.13
Rb 0.0654 0.4350 0.6202  4 O 2.83-3.13
Rb 0.1790 0.5827 0.2605  4 O 2.74-2.88
Rb 0.1790 0.9173 0.7605  4 O 2.74-2.88
Rb 0.3570 0.6766 0.5280  4 O 2.70-2.89
Rb 0.3570 0.8234 0.0280  4 O 2.70-2.89
Rb 0.4185 0.1296 0.6633  4 O 2.73-2.88
Rb 0.4185 0.3704 0.1633  4 O 2.73-2.88
Rb 0.5815 0.6296 0.8367  4 O 2.73-2.88
Rb 0.5815 0.8704 0.3367  4 O 2.73-2.88
Rb 0.6430 0.1766 0.9720  4 O 2.70-2.89
Rb 0.6430 0.3234 0.4720  4 O 2.70-2.89
Rb 0.8210 0.0827 0.2395  4 O 2.74-2.88
Rb 0.8210 0.4173 0.7395  4 O 2.74-2.88
Rb 0.9346 0.5650 0.3798  4 O 2.83-3.13
Rb 0.9346 0.9350 0.8798  4 O 2.83-3.13
Zn 0.0873 0.0524 0.4600  4 O 1.99-2.03
Zn 0.0873 0.4476 0.9600  4 O 1.99-2.03
Zn 0.2586 0.1256 0.3698  3 O 1.84-1.95
Zn 0.2586 0.3744 0.8698  3 O 1.84-1.95
Zn 0.7414 0.6256 0.1302  3 O 1.84-1.95
Zn 0.7414 0.8744 0.6302  3 O 1.84-1.95
Zn 0.9127 0.5524 0.0400  4 O 1.99-2.03
Zn 0.9127 0.9476 0.5400  4 O 1.99-2.03
O 0.1171 0.6055 0.8584  2 Zn 1.93-2.03
O 0.1171 0.8945 0.3584  2 Zn 1.93-2.03
O 0.1356 0.6343 0.0734  2 Zn 1.99-2.01
O 0.1356 0.8657 0.5734  2 Zn 1.99-2.01
O 0.2429 0.2210 0.9716  2 Zn 1.95-2.00
O 0.2429 0.2790 0.4716  2 Zn 1.95-2.00
O 0.3585 0.1928 0.2994  1 Zn 1.84
O 0.3585 0.3072 0.7994  1 Zn 1.84
O 0.6415 0.6928 0.2006  1 Zn 1.84
O 0.6415 0.8072 0.7006  1 Zn 1.84
O 0.7571 0.7210 0.5284  2 Zn 1.95-2.00
O 0.7571 0.7790 0.0284  2 Zn 1.95-2.00
O 0.8644 0.1343 0.4266  2 Zn 1.99-2.01
O 0.8644 0.3657 0.9266  2 Zn 1.99-2.01
O 0.8829 0.1055 0.6416  2 Zn 1.93-2.03
O 0.8829 0.3945 0.1416  2 Zn 1.93-2.03